## Sm2TlPb2 (PBE)

Data for an optimized crystal structure of Sm2TlPb2.

The space group is P4/mnc (No. 128) and the conventional cell measures 8.2544, 8.2544 and 8.9639 Å, with angles of 90.00, 90.00 and 90.00 degrees. The distinct sites, in fractional coordinates, are Sm at (0.1752, 0.3253, 0.0000), Tl at (0.0000, 0.0000, 0.2492) and Pb at (0.1295, 0.6295, 0.2500).

The value obtained for the energy of formation from the pure elements is -37.8 kJ/mol of atoms. The calculation puts the energy above the most stable polymorph in this dataset at 0 meV per atom. The total energy is -4.24 eV per atom.

=====

## ZrFeOs2 (PBE)

Data for an optimized crystal structure of ZrFeOs2.

The space group is F-43m (No. 216) and the conventional cell measures 6.2903, 6.2903 and 6.2903 Å, with angles of 90.00, 90.00 and 90.00 degrees. The distinct sites, in fractional coordinates, are Zr at (0.0000, 0.0000, 0.0000), Fe at (0.2500, 0.2500, 0.7500), Os at (0.0000, 0.0000, 0.5000) and Os at (0.2500, 0.2500, 0.2500).

The value obtained for the energy of formation from the pure elements is 12.8 kJ/mol of atoms. The calculation puts the energy above the most stable polymorph in this dataset at 137 meV per atom. The total energy is -9.74 eV per atom.

=====

## CrTeBr2 (PBE)

Data for an optimized crystal structure of CrTeBr2.

The space group is Imm2 (No. 44) and the conventional cell measures 3.7380, 5.5721 and 14.1080 Å, with angles of 90.00, 90.00 and 90.00 degrees. The distinct sites, in fractional coordinates, are Cr at (0.0000, 0.0000, 0.0000), Te at (0.0000, 0.5000, 0.6386), Br at (0.0000, 0.0000, 0.5957) and Br at (0.0000, 0.5000, 0.3784).

The calculation puts the raw formation energy at -24.3 kJ per mole of atoms. The calculation puts the energy above the most stable polymorph in this dataset at 61 meV per atom. The total energy is -4.28 eV per atom.